[1]
# Pu4UGe3

A relaxed Pu4UGe3 crystal (PBE-GGA, Alexandria).

Computed properties:
magnetic moment	25.571	μB/f.u.
E_form	-0.18	eV per atom
final energy	-83.910	eV/f.u.
DOS at the Fermi energy	22.45	states/eV/f.u.

a b c (Å): 3.8781 4.0548 24.3485
angles (deg): 90.00 90.00 90.00
Space group Immm (No. 71)
Asymmetric unit:
1 Pu 0.0000 0.0000 0.0975 [4 per cell]
2 Pu 0.0000 0.0000 0.2146 [4 per cell]
3 U 0.0000 0.5000 0.0000 [2 per cell]
4 Ge 0.0000 0.0000 0.3414 [4 per cell]
5 Ge 0.0000 0.5000 0.5000 [2 per cell]

=====

[2]
# SrMnW2

A relaxed SrMnW2 crystal (PBE-GGA, Alexandria).

Computed properties:
relative energy among the computed polymorphs	380	meV per atom
magnetic moment	3.120	μB/f.u.
E_form	1.17	eV per atom
final energy	-32.072	eV/f.u.
DOS at the Fermi energy	5.34	states/eV/f.u.

a b c (Å): 3.1353 4.6068 5.2383
angles (deg): 90.00 90.00 90.00
Space group Pmmm (No. 47)
Asymmetric unit:
1 Sr 0.0000 0.0000 0.0000 [1 per cell]
2 Mn 0.5000 0.5000 0.0000 [1 per cell]
3 W 0.0000 0.5000 0.5000 [1 per cell]
4 W 0.5000 0.0000 0.5000 [1 per cell]

=====

[3]
# Tb2Dy3Ga2

A relaxed Tb2Dy3Ga2 crystal (PBE-GGA, Alexandria).

Computed properties:
magnetic moment	0.000	μB/f.u.
E_form	-0.32	eV per atom
final energy	-31.340	eV/f.u.
DOS at the Fermi energy	7.62	states/eV/f.u.

a b c (Å): 12.1057 4.0914 8.5805
angles (deg): 90.00 113.43 90.00
Space group C2/m (No. 12)
Asymmetric unit:
1 Tb 0.1498 0.0000 0.3089 [4 per cell]
2 Dy 0.0000 0.5000 0.5000 [2 per cell]
3 Dy 0.1185 0.5000 0.9364 [4 per cell]
4 Ga 0.1746 0.0000 0.7117 [4 per cell]

=====

[4]
# FeBi

A relaxed FeBi crystal (PBE-GGA, Alexandria).

Computed properties:
magnetic moment	2.501	μB/f.u.
E_form	0.48	eV per atom
final energy	-11.394	eV/f.u.
DOS at the Fermi energy	1.34	states/eV/f.u.

a b c (Å): 10.7241 10.7241 3.3459
angles (deg): 90.00 90.00 90.00
Space group I4/m (No. 87)
Asymmetric unit:
1 Fe 0.1714 0.2231 0.0000 [8 per cell]
2 Bi 0.0315 0.7329 0.5000 [8 per cell]

=====

[5]
# Nd2Ho7Sc3

A relaxed Nd2Ho7Sc3 crystal (PBE-GGA, Alexandria).

Computed properties:
magnetic moment	0.000	μB/f.u.
E_form	0.17	eV per atom
final energy	-58.541	eV/f.u.
DOS at the Fermi energy	18.25	states/eV/f.u.

a b c (Å): 5.5645 37.1758 3.5249
angles (deg): 90.00 90.00 90.00
Space group Cmmm (No. 65)
Asymmetric unit:
1 Nd 0.0000 0.1485 0.0000 [4 per cell]
2 Ho 0.0000 0.0000 0.0000 [2 per cell]
3 Ho 0.0000 0.0704 0.5000 [4 per cell]
4 Ho 0.0000 0.2313 0.0000 [4 per cell]
5 Ho 0.0000 0.4113 0.0000 [4 per cell]
6 Sc 0.0000 0.3121 0.5000 [4 per cell]
7 Sc 0.0000 0.5000 0.5000 [2 per cell]

=====

[6]
# Li2AgAs2

A relaxed Li2AgAs2 crystal (PBE-GGA, Alexandria).

Computed properties:
relative energy among the computed polymorphs	0	meV per atom
magnetic moment	0.000	μB/f.u.
E_form	-0.38	eV per atom
final energy	-17.891	eV/f.u.
DOS at the Fermi energy	1.20	states/eV/f.u.

a b c (Å): 6.7699 6.7699 4.0476
angles (deg): 90.00 90.00 90.00
Space group P4/mbm (No. 127)
Asymmetric unit:
1 Li 0.1659 0.3341 0.0000 [4 per cell]
2 Ag 0.0000 0.0000 0.5000 [2 per cell]
3 As 0.1272 0.6272 0.5000 [4 per cell]

=====

[7]
# LiNdZn2Ag4

A relaxed LiNdZn2Ag4 crystal (PBE-GGA, Alexandria).

Computed properties:
magnetic moment	0.000	μB/f.u.
E_form	-0.19	eV per atom
final energy	-22.155	eV/f.u.
DOS at the Fermi energy	3.16	states/eV/f.u.

a b c (Å): 4.5905 4.5905 24.9324
angles (deg): 90.00 90.00 120.00
Space group R-3m (No. 166, hexagonal axes)
Asymmetric unit:
1 Li 0.0000 0.0000 0.0000 [3 per cell]
2 Nd 0.0000 0.0000 0.5000 [3 per cell]
3 Zn 0.0000 0.0000 0.2541 [6 per cell]
4 Ag 0.0000 0.0000 0.1008 [6 per cell]
5 Ag 0.0000 0.0000 0.3689 [6 per cell]

=====

[8]
# Li3In2Ag4Hg2

A relaxed Li3In2Ag4Hg2 crystal (PBE-GGA, Alexandria).

Computed properties:
magnetic moment	0.000	μB/f.u.
E_form	-0.18	eV per atom
final energy	-25.175	eV/f.u.
DOS at the Fermi energy	3.68	states/eV/f.u.

a b c (Å): 4.6638 4.6638 11.4265
angles (deg): 90.00 90.00 120.00
Space group P-3m1 (No. 164)
Asymmetric unit:
1 Li 0.0000 0.0000 0.0000 [1 per cell]
2 Li 0.0000 0.0000 0.2698 [2 per cell]
3 In 0.3333 0.6667 0.5701 [2 per cell]
4 Ag 0.3333 0.6667 0.3233 [2 per cell]
5 Ag 0.3333 0.6667 0.8166 [2 per cell]
6 Hg 0.3333 0.6667 0.0756 [2 per cell]